Below is a geometry-optimized Er2TmSc4 structure, with properties calculated at the PBE level.

Output
crystal system: orthorhombic
energy of formation: 180 meV/atom
offset from the most stable computed form: 6 meV per atom

Structure (CIF):
```
data_Er2TmSc4
_chemical_formula_sum 'Er4 Tm2 Sc8'
_symmetry_space_group_name_H-M 'C m m m'
_symmetry_Int_Tables_number 65
_symmetry_space_group_name_Hall '-C 2 2'
_cell_length_a 10.5016
_cell_length_b 11.0033
_cell_length_c 3.3593
_cell_angle_alpha 90.00
_cell_angle_beta 90.00
_cell_angle_gamma 90.00
loop_
_atom_site_label
_atom_site_type_symbol
_atom_site_fract_x
_atom_site_fract_y
_atom_site_fract_z
_atom_site_occupancy
Er1 Er 0.1968 0.0000 0.0000 1
Tm1 Tm 0.0000 0.5000 0.5000 1
Sc1 Sc 0.0000 0.2306 0.0000 1
Sc2 Sc 0.2500 0.2500 0.5000 1
```

Below is a geometry-optimized BaTeOsO6 structure, with properties calculated at the PBE level.

Output
VASP energy: -6.627 eV/atom
crystal system: trigonal

Structure (CIF):
```
data_BaTeOsO6
_chemical_formula_sum 'Ba1 Te1 Os1 O6'
_symmetry_space_group_name_H-M 'P 3 1 2'
_symmetry_Int_Tables_number 149
_cell_length_a 5.4173
_cell_length_b 5.4173
_cell_length_c 5.7925
_cell_angle_alpha 90.00
_cell_angle_beta 90.00
_cell_angle_gamma 120.00
loop_
_symmetry_equiv_pos_as_xyz
'x,y,z'
'-y,x-y,z'
'-x+y,-x,z'
'-y,-x,-z'
'-x+y,y,-z'
'x,x-y,-z'
loop_
_atom_site_label
_atom_site_type_symbol
_atom_site_fract_x
_atom_site_fract_y
_atom_site_fract_z
_atom_site_occupancy
Ba1 Ba 0.0000 0.0000 0.0000 1
Te1 Te 0.6667 0.3333 0.5000 1
Os1 Os 0.3333 0.6667 0.5000 1
O1 O 0.0094 0.3825 0.6903 1
```

Below is a geometry-optimized BaWCl structure, with properties calculated at the PBE level.

Output
crystal system: trigonal
offset from the most stable computed form: 181 meV per atom

Structure (CIF):
```
data_BaWCl
_chemical_formula_sum 'Ba1 W1 Cl1'
_symmetry_space_group_name_H-M 'P 3 m 1'
_symmetry_Int_Tables_number 156
_cell_length_a 5.2282
_cell_length_b 5.2282
_cell_length_c 3.7893
_cell_angle_alpha 90.00
_cell_angle_beta 90.00
_cell_angle_gamma 120.00
loop_
_symmetry_equiv_pos_as_xyz
'x,y,z'
'-y,x-y,z'
'-x+y,-x,z'
'-y,-x,z'
'-x+y,y,z'
'x,x-y,z'
loop_
_atom_site_label
_atom_site_type_symbol
_atom_site_fract_x
_atom_site_fract_y
_atom_site_fract_z
_atom_site_occupancy
Ba1 Ba 0.0000 0.0000 0.0000 1
W1 W 0.3333 0.6667 0.5001 1
Cl1 Cl 0.6667 0.3333 0.4985 1
```

Below is a geometry-optimized SrCrPt4 structure, with properties calculated at the PBE level.

Output
crystal system: cubic
energy of formation: -366 meV/atom

Structure (CIF):
```
data_SrCrPt4
_chemical_formula_sum 'Sr4 Cr4 Pt16'
_symmetry_space_group_name_H-M 'F -4 3 m'
_symmetry_Int_Tables_number 216
_symmetry_space_group_name_Hall 'F -4 2 3'
_cell_length_a 7.6675
_cell_length_b 7.6675
_cell_length_c 7.6675
_cell_angle_alpha 90.00
_cell_angle_beta 90.00
_cell_angle_gamma 90.00
loop_
_atom_site_label
_atom_site_type_symbol
_atom_site_fract_x
_atom_site_fract_y
_atom_site_fract_z
_atom_site_occupancy
Sr1 Sr 0.0000 0.0000 0.0000 1
Cr1 Cr 0.2500 0.2500 0.7500 1
Pt1 Pt 0.1244 0.1244 0.3756 1
```